1.
Below is Ce4SmEr after structural relaxation, with properties calculated at the PBE-GGA level.

```
Ce4SmEr
1.0
-4.6626 0.0968 -4.2744
1.2427 -1.2946 -6.0663
-2.0522 -5.4063 -2.5652
Ce Er Sm
4 1 1
Direct
0.6290 0.6290 0.1130
0.6290 0.1130 0.6290
0.6290 0.6290 0.6290
0.1130 0.6290 0.6290
0.0000 0.0000 0.0000
0.2500 0.2500 0.2500
```

Computed properties:
Uncorrected energy   -5.297 eV/atom
Symmetry   No. 216
Total magnetization   4.30 μB per cell
Energy of formation from the pure elements   0.21 eV/atom

---

2.
Below is TbAlAu2 after structural relaxation, with properties calculated at the PBE-GGA level.

```
TbAlAu2
1.0
5.7024 0.0000 0.0000
0.0000 7.1643 0.0000
0.0000 0.0000 7.9028
Tb Au Al
4 8 4
Direct
0.6508 0.7500 0.9532
0.3492 0.2500 0.0468
0.1508 0.2500 0.5468
0.8492 0.7500 0.4532
0.6041 0.0474 0.6798
0.1041 0.9526 0.8202
0.8959 0.4526 0.1798
0.1041 0.5474 0.8202
0.8959 0.0474 0.1798
0.3959 0.5474 0.3202
0.6041 0.4526 0.6798
0.3959 0.9526 0.3202
0.6492 0.2500 0.3887
0.3508 0.7500 0.6113
0.1492 0.7500 0.1113
0.8508 0.2500 0.8887
```

Computed properties:
Uncorrected energy   -4.474 eV/atom
Symmetry   No. 62
Total magnetization   0.00 μB per cell
Energy of formation from the pure elements   -0.74 eV/atom

---

3.
Below is CdCo2As after structural relaxation, with properties calculated at the PBE-GGA level.

```
CdCo2As
1.0
2.9188 0.0084 0.0000
-0.0079 2.9188 0.0000
0.0000 0.0000 6.5738
Cd Co As
1 2 1
Direct
0.5000 0.5000 0.7500
0.0000 0.0000 0.4497
0.0000 0.0000 0.0503
0.5000 0.5000 0.2500
```

Computed properties:
Uncorrected energy   -4.863 eV/atom
Symmetry   No. 123
Total magnetization   1.18 μB per cell
Energy of formation from the pure elements   0.08 eV/atom

---

4.
Below is Na2MgS after structural relaxation, with properties calculated at the PBE-GGA level.

```
Na2MgS
1.0
-4.9790 3.8459 -5.2170
2.6135 -4.8289 -6.0540
-5.4355 -4.3321 -4.4080
S Na Mg
2 4 2
Direct
0.0000 0.0000 0.0000
0.7500 0.2500 0.5000
0.3750 0.1885 0.7500
0.9385 0.6250 0.2500
0.8750 0.0615 0.7500
0.8115 0.1250 0.2500
0.5000 0.5000 0.0000
0.2500 0.7500 0.5000
```

Computed properties:
Uncorrected formation energy   -0.24 eV/atom
Uncorrected energy   -2.331 eV/atom
Symmetry   No. 122
Total magnetization   0.00 μB per cell

---

5.
Below is ZnTcNiRh after structural relaxation, with properties calculated at the PBE-GGA level.

```
ZnTcNiRh
1.0
4.2589 0.0000 0.0000
2.1294 3.6883 0.0000
2.1294 1.2294 3.4774
Ni Zn Tc Rh
1 1 1 1
Direct
0.0000 0.0000 0.0000
0.2500 0.2500 0.2500
0.7500 0.7500 0.7500
0.5000 0.5000 0.5000
```

Computed properties:
Uncorrected energy   -6.105 eV/atom
Symmetry   No. 216
Total magnetization   1.28 μB per cell
Energy of formation from the pure elements   0.09 eV/atom

---

6.
Below is TmScAlPt after structural relaxation, with properties calculated at the PBE-GGA level.

```
TmScAlPt
1.0
-3.9191 -2.5786 1.2180
-0.2888 -2.0451 4.3848
-3.1175 1.7331 3.2818
Pt Sc Al Tm
1 1 1 1
Direct
0.7500 0.7500 0.7500
0.5000 0.5000 0.5000
0.2500 0.2500 0.2500
0.0000 0.0000 0.0000
```

Computed properties:
Uncorrected energy   -5.925 eV/atom
Symmetry   No. 216
Total magnetization   0.00 μB per cell
Energy of formation from the pure elements   -0.78 eV/atom